[1]
# SrAc2Au3, optimized geometry, DFT PBE-GGA
# - formation enthalpy at 0 K (meV per atom) = -601
data_SrAc2Au3
_chemical_formula_sum 'Sr4 Ac8 Au12'
_cell_length_a 10.519
_cell_length_b 10.519
_cell_length_c 10.519
_cell_angle_alpha 60.00
_cell_angle_beta 60.00
_cell_angle_gamma 60.00
_space_group_name_H-M_alt 'P 1'
_space_group_IT_number 1
_space_group_name_Hall 'P 1'
loop_
_atom_site_label
_atom_site_type_symbol
_atom_site_fract_x
_atom_site_fract_y
_atom_site_fract_z
Ac1 Ac 0.684 0.272 0.272
Au1 Au 0.636 0.114 0.114
Au2 Au 0.114 0.114 0.636
Ac2 Ac 0.316 0.728 0.728
Sr1 Sr 0.000 0.000 0.500
Sr2 Sr 0.000 0.500 0.000
Ac3 Ac 0.728 0.316 0.728
Au3 Au 0.636 0.636 0.114
Sr3 Sr 0.000 0.000 0.000
Au4 Au 0.114 0.636 0.636
Au5 Au 0.886 0.364 0.364
Au6 Au 0.114 0.636 0.114
Ac4 Ac 0.272 0.684 0.272
Ac5 Ac 0.728 0.728 0.316
Au7 Au 0.636 0.114 0.636
Au8 Au 0.886 0.364 0.886
Au9 Au 0.364 0.364 0.886
Au10 Au 0.364 0.886 0.886
Au11 Au 0.364 0.886 0.364
Sr4 Sr 0.500 0.000 0.000
Au12 Au 0.886 0.886 0.364
Ac6 Ac 0.728 0.728 0.728
Ac7 Ac 0.272 0.272 0.272
Ac8 Ac 0.272 0.272 0.684


[2]
# Sr3Ac3Au4, optimized geometry, DFT PBE-GGA
# - formation enthalpy at 0 K (meV per atom) = -653
data_Sr3Ac3Au4
_chemical_formula_sum 'Sr3 Ac3 Au4'
_cell_length_a 4.305
_cell_length_b 8.781
_cell_length_c 8.781
_cell_angle_alpha 91.02
_cell_angle_beta 90.00
_cell_angle_gamma 90.00
_space_group_name_H-M_alt 'P 1'
_space_group_IT_number 1
_space_group_name_Hall 'P 1'
loop_
_atom_site_label
_atom_site_type_symbol
_atom_site_fract_x
_atom_site_fract_y
_atom_site_fract_z
Sr1 Sr 0.500 0.159 0.841
Sr2 Sr 0.000 0.000 0.504
Ac1 Ac 0.500 0.848 0.152
Au1 Au 0.000 0.854 0.862
Sr3 Sr 0.000 0.496 0.000
Au2 Au 0.000 0.640 0.360
Ac2 Ac 0.500 0.343 0.345
Ac3 Ac 0.500 0.655 0.657
Au3 Au 0.000 0.138 0.146
Au4 Au 0.000 0.367 0.633


[3]
# Sr3AcAu3, optimized geometry, DFT PBE-GGA
# - formation enthalpy at 0 K (meV per atom) = -576
data_Sr3AcAu3
_chemical_formula_sum 'Sr6 Ac2 Au6'
_cell_length_a 8.505
_cell_length_b 8.505
_cell_length_c 8.087
_cell_angle_alpha 96.12
_cell_angle_beta 96.12
_cell_angle_gamma 119.42
_space_group_name_H-M_alt 'P 1'
_space_group_IT_number 1
_space_group_name_Hall 'P 1'
loop_
_atom_site_label
_atom_site_type_symbol
_atom_site_fract_x
_atom_site_fract_y
_atom_site_fract_z
Au1 Au 0.133 0.451 0.285
Au2 Au 0.867 0.549 0.715
Sr1 Sr 0.194 0.806 0.500
Au3 Au 0.994 0.994 0.699
Au4 Au 0.006 0.006 0.301
Ac1 Ac 0.238 0.238 0.046
Au5 Au 0.549 0.867 0.715
Sr2 Sr 0.806 0.194 0.500
Sr3 Sr 0.672 0.672 0.412
Ac2 Ac 0.762 0.762 0.954
Sr4 Sr 0.257 0.743 0.000
Au6 Au 0.451 0.133 0.285
Sr5 Sr 0.328 0.328 0.588
Sr6 Sr 0.743 0.257 0.000


[4]
# Sr2AcAu, optimized geometry, DFT PBE-GGA
# - formation enthalpy at 0 K (meV per atom) = -319
data_Sr2AcAu
_chemical_formula_sum 'Sr2 Ac1 Au1'
_cell_length_a 3.901
_cell_length_b 3.901
_cell_length_c 10.087
_cell_angle_alpha 90.00
_cell_angle_beta 90.00
_cell_angle_gamma 90.00
_space_group_name_H-M_alt 'P 1'
_space_group_IT_number 1
_space_group_name_Hall 'P 1'
loop_
_atom_site_label
_atom_site_type_symbol
_atom_site_fract_x
_atom_site_fract_y
_atom_site_fract_z
Au1 Au 0.500 0.500 0.000
Sr1 Sr 0.000 0.000 0.817
Ac1 Ac 0.500 0.500 0.500
Sr2 Sr 0.000 0.000 0.183


[5]
# Sr3Ac4Au4, optimized geometry, DFT PBE-GGA
# - formation enthalpy at 0 K (meV per atom) = -518
data_Sr3Ac4Au4
_chemical_formula_sum 'Sr3 Ac4 Au4'
_cell_length_a 4.310
_cell_length_b 9.837
_cell_length_c 10.549
_cell_angle_alpha 117.79
_cell_angle_beta 101.79
_cell_angle_gamma 90.00
_space_group_name_H-M_alt 'P 1'
_space_group_IT_number 1
_space_group_name_Hall 'P 1'
loop_
_atom_site_label
_atom_site_type_symbol
_atom_site_fract_x
_atom_site_fract_y
_atom_site_fract_z
Sr1 Sr 0.000 0.500 0.000
Au1 Au 0.253 0.753 0.506
Au2 Au 0.747 0.247 0.494
Sr2 Sr 0.903 0.903 0.806
Sr3 Sr 0.097 0.097 0.194
Au3 Au 0.500 0.208 0.000
Ac1 Ac 0.668 0.860 0.335
Ac2 Ac 0.332 0.525 0.665
Ac3 Ac 0.332 0.140 0.665
Au4 Au 0.500 0.792 0.000
Ac4 Ac 0.668 0.475 0.335


[6]
# SrAc2Au6, optimized geometry, DFT PBE-GGA
# - formation enthalpy at 0 K (meV per atom) = -797
data_SrAc2Au6
_chemical_formula_sum 'Sr1 Ac2 Au6'
_cell_length_a 3.906
_cell_length_b 8.395
_cell_length_c 8.395
_cell_angle_alpha 120.00
_cell_angle_beta 90.00
_cell_angle_gamma 90.00
_space_group_name_H-M_alt 'P 1'
_space_group_IT_number 1
_space_group_name_Hall 'P 1'
loop_
_atom_site_label
_atom_site_type_symbol
_atom_site_fract_x
_atom_site_fract_y
_atom_site_fract_z
Au1 Au 0.500 0.000 0.333
Sr1 Sr 0.000 0.000 0.000
Ac1 Ac 0.000 0.667 0.333
Au2 Au 0.500 0.333 0.000
Au3 Au 0.500 0.000 0.667
Au4 Au 0.500 0.333 0.333
Ac2 Ac 0.000 0.333 0.667
Au5 Au 0.500 0.667 0.000
Au6 Au 0.500 0.667 0.667


[7]
# SrAc6Au4, optimized geometry, DFT PBE-GGA
# - formation enthalpy at 0 K (meV per atom) = -533
data_SrAc6Au4
_chemical_formula_sum 'Sr1 Ac6 Au4'
_cell_length_a 6.772
_cell_length_b 6.773
_cell_length_c 8.915
_cell_angle_alpha 94.68
_cell_angle_beta 94.67
_cell_angle_gamma 108.43
_space_group_name_H-M_alt 'P 1'
_space_group_IT_number 1
_space_group_name_Hall 'P 1'
loop_
_atom_site_label
_atom_site_type_symbol
_atom_site_fract_x
_atom_site_fract_y
_atom_site_fract_z
Ac1 Ac 0.291 0.291 0.248
Sr1 Sr 0.044 0.044 0.820
Au1 Au 0.671 0.671 0.707
Au2 Au 0.418 0.418 0.926
Au3 Au 0.286 0.806 0.318
Au4 Au 0.806 0.286 0.318
Ac2 Ac 0.807 0.807 0.388
Ac3 Ac 0.909 0.524 0.018
Ac4 Ac 0.179 0.565 0.618
Ac5 Ac 0.524 0.909 0.018
Ac6 Ac 0.565 0.179 0.618


[8]
# SrAc4Au5, optimized geometry, DFT PBE-GGA
# - formation enthalpy at 0 K (meV per atom) = -767
data_SrAc4Au5
_chemical_formula_sum 'Sr1 Ac4 Au5'
_cell_length_a 3.886
_cell_length_b 3.886
_cell_length_c 19.702
_cell_angle_alpha 90.00
_cell_angle_beta 90.00
_cell_angle_gamma 90.00
_space_group_name_H-M_alt 'P 1'
_space_group_IT_number 1
_space_group_name_Hall 'P 1'
loop_
_atom_site_label
_atom_site_type_symbol
_atom_site_fract_x
_atom_site_fract_y
_atom_site_fract_z
Au1 Au 0.500 0.500 0.500
Au2 Au 0.500 0.500 0.299
Au3 Au 0.500 0.500 0.105
Ac1 Ac 0.000 0.000 0.600
Au4 Au 0.500 0.500 0.701
Sr1 Sr 0.000 0.000 0.000
Au5 Au 0.500 0.500 0.895
Ac2 Ac 0.000 0.000 0.802
Ac3 Ac 0.000 0.000 0.198
Ac4 Ac 0.000 0.000 0.400


[9]
# SrAc2Au3, optimized geometry, DFT PBE-GGA
# - formation enthalpy at 0 K (meV per atom) = -760
data_SrAc2Au3
_chemical_formula_sum 'Sr2 Ac4 Au6'
_cell_length_a 6.444
_cell_length_b 9.097
_cell_length_c 7.883
_cell_angle_alpha 106.69
_cell_angle_beta 114.13
_cell_angle_gamma 90.00
_space_group_name_H-M_alt 'P 1'
_space_group_IT_number 1
_space_group_name_Hall 'P 1'
loop_
_atom_site_label
_atom_site_type_symbol
_atom_site_fract_x
_atom_site_fract_y
_atom_site_fract_z
Au1 Au 0.168 0.085 0.338
Sr1 Sr 0.002 0.250 0.000
Au2 Au 0.498 0.750 0.000
Sr2 Sr 0.998 0.750 0.000
Au3 Au 0.502 0.250 0.000
Ac1 Ac 0.332 0.416 0.665
Au4 Au 0.830 0.415 0.662
Ac2 Ac 0.667 0.084 0.335
Au5 Au 0.832 0.915 0.662
Ac3 Ac 0.333 0.916 0.665
Ac4 Ac 0.668 0.584 0.335
Au6 Au 0.170 0.585 0.338


[10]
# SrAc2Au6, optimized geometry, DFT PBE-GGA
# - formation enthalpy at 0 K (meV per atom) = -711
data_SrAc2Au6
_chemical_formula_sum 'Sr1 Ac2 Au6'
_cell_length_a 4.075
_cell_length_b 8.879
_cell_length_c 8.879
_cell_angle_alpha 53.08
_cell_angle_beta 76.73
_cell_angle_gamma 76.73
_space_group_name_H-M_alt 'P 1'
_space_group_IT_number 1
_space_group_name_Hall 'P 1'
loop_
_atom_site_label
_atom_site_type_symbol
_atom_site_fract_x
_atom_site_fract_y
_atom_site_fract_z
Au1 Au 0.830 0.487 0.854
Au2 Au 0.000 0.181 0.819
Au3 Au 0.170 0.146 0.513
Au4 Au 0.000 0.819 0.181
Au5 Au 0.830 0.854 0.487
Ac1 Ac 0.644 0.856 0.856
Ac2 Ac 0.356 0.144 0.144
Au6 Au 0.170 0.513 0.146
Sr1 Sr 0.500 0.500 0.500


[11]
# Sr2AcAu4, optimized geometry, DFT PBE-GGA
# - formation enthalpy at 0 K (meV per atom) = -750
data_Sr2AcAu4
_chemical_formula_sum 'Sr4 Ac2 Au8'
_cell_length_a 8.127
_cell_length_b 8.127
_cell_length_c 8.127
_cell_angle_alpha 109.54
_cell_angle_beta 109.54
_cell_angle_gamma 109.34
_space_group_name_H-M_alt 'P 1'
_space_group_IT_number 1
_space_group_name_Hall 'P 1'
loop_
_atom_site_label
_atom_site_type_symbol
_atom_site_fract_x
_atom_site_fract_y
_atom_site_fract_z
Au1 Au 0.368 0.121 0.416
Au2 Au 0.047 0.632 0.753
Au3 Au 0.882 0.797 0.253
Ac1 Ac 0.000 0.000 0.000
Ac2 Ac 0.250 0.750 0.500
Au4 Au 0.371 0.118 0.916
Sr1 Sr 0.503 0.875 0.128
Au5 Au 0.879 0.295 0.247
Sr2 Sr 0.747 0.375 0.872
Au6 Au 0.705 0.953 0.585
Au7 Au 0.545 0.629 0.747
Sr3 Sr 0.625 0.497 0.372
Sr4 Sr 0.125 0.253 0.628
Au8 Au 0.203 0.455 0.084